(1)
Computed, not measured: a relaxed TaW3 crystal at the PBE level of DFT.

Geometry as POSCAR:
```
TaW3
1.0
-0.002 -2.864 -0.989
7.428 2.863 -3.664
1.100 -2.211 1.756
Ta W
1 3
Direct
0.000 0.000 0.000
0.248 0.743 0.248
0.500 0.500 0.500
0.752 0.257 0.752
```

Values from the calculation:
formation energy from the elements	0.35	eV per atom
mass density	17.814	g/cm3

(2)
Computed, not measured: a relaxed TaW2 crystal at the PBE level of DFT.

Geometry as POSCAR:
```
TaW2
1.0
0.545 -5.357 8.892
-4.005 -4.634 8.399
1.543 3.012 -9.829
Ta W
2 4
Direct
0.000 0.000 0.000
0.750 0.250 0.500
0.326 0.826 0.500
0.174 0.674 0.500
0.576 0.576 0.000
0.424 0.424 0.000
```

Values from the calculation:
formation energy from the elements	0.67	eV per atom
mass density	16.745	g/cm3